YHo3Th4Se8 | GGA-PBE | optimized geometry

Geometry as POSCAR:
```
YHo3Th4Se8
1.0
-7.103 -0.480 -3.766
3.534 -4.793 -6.056
0.671 -2.412 7.655
Y Ho Th Se
1 3 4 8
direct
0.000 0.500 0.000
0.500 0.500 0.000
0.500 0.500 0.500
0.000 0.500 0.500
0.500 0.000 0.000
0.500 0.000 0.500
0.000 0.000 0.000
0.000 0.000 0.500
0.245 0.733 0.988
0.245 0.733 0.490
0.256 0.268 0.512
0.743 0.733 0.988
0.257 0.267 0.012
0.744 0.732 0.488
0.755 0.267 0.510
0.755 0.267 0.012
```

Summary:
formation energy without anion corrections = -1.64 eV per atom
space-group type = R-3m
volume = 24.96 Å³ per atom
E = -103.96 eV/cell